DFT (PBE) results for ZrTeCl3 after structural relaxation.

Cell: 6.4001 7.7648 6.2471 Å, 89.67 99.04 90.09°
Atoms (fractional coordinates):
Cl 0.4162 0.8663 0.9268
Cl 0.9161 0.4861 0.4291
Cl 0.4314 0.3851 0.2533
Cl 0.9326 0.9680 0.7489
Cl 0.9647 0.5739 0.9370
Cl 0.4654 0.7791 0.4361
Te 0.4263 0.4187 0.7632
Te 0.9268 0.9339 0.2592
Zr 0.1385 0.7264 0.6266
Zr 0.6383 0.6262 0.1275

Results
* formation energy (no corrections): -1.1865 eV per atom
* SG: P1
* total magnetization: 0.000 μB per formula unit
* energy above the lowest structure with this stoichiometry: 0.0000 eV/atom
* volume: 30.7 Å³/atom

---

DFT (PBE) results for Zr3TeCl after structural relaxation.

Cell: 4.8249 4.8249 4.8249 Å, 90.00 90.00 90.00°
Atoms (fractional coordinates):
Cl 0.0000 0.0000 0.0000
Te 0.5000 0.5000 0.5000
Zr 0.0000 0.5000 0.0000
Zr 0.5000 0.0000 0.0000
Zr 0.0000 0.0000 0.5000

Results
* formation energy (no corrections): -0.0639 eV per atom
* SG: Pm-3m
* total magnetization: 0.001 μB per formula unit
* energy above the lowest structure with this stoichiometry: 0.0000 eV/atom
* volume: 22.5 Å³/atom

---

DFT (PBE) results for Zr3Te2Cl4 after structural relaxation.

Cell: 3.5090 3.5090 30.2921 Å, 90.00 90.00 120.00°
Atoms (fractional coordinates):
Cl 0.6667 0.3333 0.7926
Cl 0.6667 0.3333 0.3186
Cl 0.6667 0.3333 0.2074
Cl 0.6667 0.3333 0.6814
Zr 0.0000 0.0000 0.7370
Zr 0.6667 0.3333 0.0000
Zr 0.0000 0.0000 0.2630
Te 0.0000 0.0000 0.9307
Te 0.0000 0.0000 0.0693

Results
* formation energy (no corrections): -1.2810 eV per atom
* SG: P-6m2
* total magnetization: 0.000 μB per formula unit
* volume: 35.9 Å³/atom

---

DFT (PBE) results for ZrTeCl3 after structural relaxation.

Cell: 5.1238 5.1238 5.1238 Å, 90.00 90.00 90.00°
Last column: magnetic moment on the atom in μB.
Atoms (fractional coordinates):
Cl 0.0000 0.5000 0.0000  0.04
Cl 0.0000 0.0000 0.5000  0.08
Cl 0.5000 0.0000 0.0000  0.06
Zr 0.0000 0.0000 0.0000  -0.13
Te 0.5000 0.5000 0.5000  0.91

Results
* formation energy (no corrections): -0.7462 eV per atom
* SG: Pm-3m
* total magnetization: 1.717 μB per formula unit
* energy above the lowest structure with this stoichiometry: 0.4403 eV/atom
* volume: 26.9 Å³/atom

---

DFT (PBE) results for ZrTe4Cl after structural relaxation.

Cell: 6.2345 6.2345 6.2345 Å, 60.00 60.00 60.00°
Last column: magnetic moment on the atom in μB.
Atoms (fractional coordinates):
Te 0.8740 0.3753 0.3753  -0.04
Te 0.3753 0.3753 0.3753  -0.04
Te 0.3753 0.3753 0.8740  -0.04
Te 0.3753 0.8740 0.3753  -0.04
Cl 0.0000 0.0000 0.0000  -0.01
Zr 0.7500 0.7500 0.7500  0.96

Results
* formation energy (no corrections): 0.2691 eV per atom
* SG: F-43m
* total magnetization: 1.136 μB per formula unit
* volume: 28.6 Å³/atom

---

DFT (PBE) results for ThCl4 after structural relaxation.

Cell: 7.1877 7.1877 7.1877 Å, 106.83 106.83 114.90°
Atoms (fractional coordinates):
Cl 0.9309 0.2441 0.3132
Cl 0.7559 0.0691 0.6868
Cl 0.3191 0.1322 0.8132
Cl 0.4941 0.6809 0.8132
Cl 0.8678 0.6809 0.1868
Cl 0.9309 0.6178 0.6868
Cl 0.3191 0.5059 0.1868
Cl 0.3822 0.0691 0.3132
Th 0.2500 0.7500 0.5000
Th 0.0000 0.0000 0.0000

Results
* formation energy (no corrections): -2.1543 eV per atom
* SG: I4_1/amd
* total magnetization: 0.000 μB per formula unit
* volume: 28.4 Å³/atom

---

DFT (PBE) results for ThCl4 after structural relaxation.

Cell: 6.2425 6.2425 6.6623 Å, 90.00 90.00 90.00°
Atoms (fractional coordinates):
Cl 0.7455 0.6909 0.8399
Cl 0.3091 0.7455 0.1601
Cl 0.6909 0.2545 0.1601
Cl 0.1909 0.2455 0.3399
Cl 0.2545 0.3091 0.8399
Cl 0.2455 0.8091 0.6601
Cl 0.8091 0.7545 0.3399
Cl 0.7545 0.1909 0.6601
Th 0.5000 0.5000 0.5000
Th 0.0000 0.0000 0.0000

Results
* formation energy (no corrections): -2.0351 eV per atom
* SG: P-42_1c
* total magnetization: 0.000 μB per formula unit
* volume: 26.0 Å³/atom

---

DFT (PBE) results for ThCl4 after structural relaxation.

Cell: 7.9734 7.9734 7.9734 Å, 131.02 131.02 71.78°
Atoms (fractional coordinates):
Cl 0.0368 0.9930 0.3785
Cl 0.6145 0.6583 0.6215
Cl 0.0070 0.3855 0.0438
Cl 0.1355 0.5917 0.8785
Cl 0.7430 0.8645 0.4562
Cl 0.3417 0.9632 0.9562
Cl 0.4083 0.2868 0.5438
Cl 0.7132 0.2570 0.1215
Th 0.0000 0.0000 0.0000
Th 0.7500 0.2500 0.5000

Results
* formation energy (no corrections): -2.1625 eV per atom
* SG: I4_1/a
* total magnetization: 0.000 μB per formula unit
* volume: 28.2 Å³/atom

---

DFT (PBE) results for ThCl4 after structural relaxation.

Cell: 5.3931 5.3931 5.3931 Å, 90.00 90.00 90.00°
Last column: magnetic moment on the atom in μB.
Atoms (fractional coordinates):
Cl 0.0000 0.0000 0.0000  0.10
Cl 0.5000 0.5000 0.0000  0.00
Cl 0.0000 0.5000 0.5000  0.00
Cl 0.5000 0.0000 0.5000  0.00
Th 0.5000 0.5000 0.5000  -0.01

Results
* formation energy (no corrections): -1.6481 eV per atom
* SG: Pm-3m
* total magnetization: 0.136 μB per formula unit
* volume: 31.4 Å³/atom

---

DFT (PBE) results for Th2Cl13 after structural relaxation.

Cell: 5.6376 8.9165 12.0665 Å, 110.79 106.18 81.22°
Last column: magnetic moment on the atom in μB.
Atoms (fractional coordinates):
Cl 0.2720 0.8382 0.2494  0.00
Cl 0.9663 0.5827 0.7832  0.15
Cl 0.3740 0.5048 0.9208  0.18
Cl 0.0000 0.0000 0.0000  0.00
Cl 0.7011 0.6931 0.5258  0.03
Cl 0.0337 0.4173 0.2168  0.15
Cl 0.2989 0.3069 0.4742  0.03
Cl 0.4075 0.8613 0.7790  0.00
Cl 0.5925 0.1387 0.2210  0.00
Cl 0.1328 0.9655 0.5647  0.00
Cl 0.8672 0.0345 0.4353  0.00
Cl 0.7280 0.1618 0.7506  0.00
Cl 0.6260 0.4952 0.0792  0.18
Th 0.8953 0.8741 0.7431  0.00
Th 0.1047 0.1259 0.2569  0.00

Results
* formation energy (no corrections): -1.3256 eV per atom
* SG: P-1
* total magnetization: 0.929 μB per formula unit
* volume: 36.2 Å³/atom

---

DFT (PBE) results for Th4Cl after structural relaxation.

Cell: 5.4094 5.4094 5.4094 Å, 90.00 90.00 90.00°
Atoms (fractional coordinates):
Th 0.0000 0.0000 0.0000
Th 0.0000 0.5000 0.5000
Th 0.5000 0.5000 0.0000
Th 0.5000 0.0000 0.5000
Cl 0.5000 0.5000 0.5000

Results
* formation energy (no corrections): -0.2230 eV per atom
* SG: Pm-3m
* total magnetization: 0.000 μB per formula unit
* volume: 31.7 Å³/atom

---

DFT (PBE) results for Th3Cl after structural relaxation.

Cell: 6.1162 6.1162 6.1162 Å, 133.64 133.64 67.65°
Atoms (fractional coordinates):
Th 0.7500 0.2500 0.5000
Th 0.5000 0.5000 0.0000
Th 0.2500 0.7500 0.5000
Cl 0.0000 0.0000 0.0000

Results
* formation energy (no corrections): 0.0641 eV per atom
* SG: I4/mmm
* total magnetization: 0.000 μB per formula unit
* volume: 29.4 Å³/atom